# CaScSb2 GGA-PBE relaxed
# Uncorrected formation energy: -0.74 eV per atom
# Space group: Cm
# Polymorph energy (0 for the lowest one): 0.1054 eV per atom
# Volume: 26.92 A^3/atom
data_CaScSb2
_space_group_name_H-M_alt 'P 1'
_space_group_IT_number 1
_cell_length_a 6.124
_cell_length_b 6.124
_cell_length_c 4.547
_cell_angle_alpha 81.00
_cell_angle_beta 81.00
_cell_angle_gamma 39.83
loop_
_space_group_symop_operation_xyz
'x,y,z'
loop_
_atom_site_label
_atom_site_fract_x
_atom_site_fract_y
_atom_site_fract_z
_atom_site_occupancy
Sc1 0.498 0.498 0.608 1
Sb1 0.988 0.988 0.113 1
Sb2 0.762 0.762 0.635 1
Ca1 0.253 0.253 0.145 1